# BIrCl2

A relaxed BIrCl2 crystal (GGA-PBE, Alexandria via LeMat-Bulk).

Results
Spin magnetization = 1.25 μB/cell
Crystal system = trigonal
Raw total energy = -0.2866 Ry per atom
Density of states at the Fermi level = 0.75 states/eV/atom
SG = R-3m, No. 166

Cell lengths 9.982, 9.982, 9.982 Å; angles 16.84, 16.84, 16.84 degrees
Element x y z (fractional)
B 0.000 0.000 0.000
Ir 0.500 0.500 0.500
Cl 0.056 0.056 0.056
Cl 0.944 0.944 0.944